1.
ZnSnO2 (PBE, relaxed); energy relative to the lowest polymorph listed for this composition = 0.0 meV/atom; formation energy (no corrections) = -1.269 eV/atom; VASP energy = -5.0675 eV per atom
1.0
3.443 0.000 0.000
1.641 8.133 0.000
1.709 -0.222 9.121
Zn Sn O
4 4 8
direct
0.104 0.222 0.088
0.391 0.025 0.695
0.609 0.975 0.305
0.896 0.778 0.912
0.120 0.697 0.556
0.342 0.631 0.169
0.658 0.369 0.831
0.880 0.303 0.444
0.064 0.103 0.273
0.228 0.195 0.865
0.401 0.176 0.525
0.445 0.649 0.934
0.555 0.351 0.066
0.599 0.824 0.475
0.772 0.805 0.135
0.936 0.897 0.727

2.
ZrCrAuI2 (PBE, relaxed); formation energy (no corrections) = 0.998 eV/atom; VASP energy = -3.9123 eV per atom
1.0
5.618 0.000 0.000
0.000 5.618 0.000
0.000 0.000 5.063
Zr Cr Au I
1 1 1 2
direct
0.000 0.000 0.000
0.500 0.500 0.000
0.500 0.500 0.500
0.000 0.500 0.500
0.500 0.000 0.500